Compound: LiAlGe
Source: Alexandria via LeMat-Bulk
Functional: PBE
Structure: relaxed

- SG: P1 (1)
- Final energy: -42.77 eV/cell
- DOS at the Fermi energy: 0.224 states/eV per atom

a b c (Å): 4.138 7.716 8.110
angles (deg): 103.16 104.76 105.51
Atoms (fractional coordinates):
Li 0.680 0.575 0.926
Li 0.952 0.416 0.627
Li 0.612 0.142 0.219
Al 0.590 0.696 0.624
Al 0.274 0.842 0.848
Ge 0.355 0.730 0.120
Ge 0.609 0.915 0.443
Ge 0.313 0.376 0.389
Ge 0.469 0.198 0.878
Al 0.143 0.366 0.060
Al 0.254 0.115 0.532
Li 0.912 0.629 0.334

---

Compound: BiPd2C2
Source: Alexandria via LeMat-Bulk
Functional: PBE
Structure: relaxed

- Polymorph energy (0 for the lowest one): 0.000 eV/atom
- SG: I4/mmm (139)
- Final energy: -28.83 eV/cell
- DOS at the Fermi energy: 0.363 states/eV per atom

a b c (Å): 4.055 4.055 5.172
angles (deg): 66.92 66.92 90.00
Atoms (fractional coordinates):
Pd 0.750 0.250 0.500
Pd 0.250 0.750 0.500
C 0.578 0.578 0.844
C 0.422 0.422 0.156
Bi 0.000 0.000 0.000

---

Compound: ScSn2Te
Source: Alexandria via LeMat-Bulk
Functional: PBE
Structure: relaxed

- SG: I-42d (122)
- Final energy: -33.36 eV/cell
- Raw formation energy: 0.200 eV/atom
- DOS at the Fermi energy: 0.880 states/eV per atom

a b c (Å): 6.901 6.901 8.190
angles (deg): 65.08 65.08 90.00
Atoms (fractional coordinates):
Te 0.750 0.250 0.500
Sn 0.619 0.125 0.250
Sn 0.875 0.869 0.750
Sc 0.250 0.750 0.500
Sn 0.131 0.625 0.250
Te 0.000 0.000 0.000
Sn 0.375 0.381 0.750
Sc 0.500 0.500 0.000

---

Compound: Ca3TaS
Source: Alexandria via LeMat-Bulk
Functional: PBE
Structure: relaxed

- Polymorph energy (0 for the lowest one): 0.911 eV/atom
- SG: Pm-3m (221)
- Final energy: -17.28 eV/cell
- Raw formation energy: 0.941 eV/atom
- DOS at the Fermi energy: 1.395 states/eV per atom

a b c (Å): 5.447 5.447 5.447
angles (deg): 90.00 90.00 90.00
Atoms (fractional coordinates):
Ca 0.500 0.000 0.000
Ca 0.000 0.500 0.000
Ca 0.000 0.000 0.500
Ta 0.000 0.000 0.000
S 0.500 0.500 0.500

---

Compound: Ho4ZrN5
Source: Alexandria via LeMat-Bulk
Functional: PBE
Structure: relaxed

- SG: I4/m (87)
- Final energy: -86.06 eV/cell
- Raw formation energy: -1.757 eV/atom
- DOS at the Fermi energy: 0.198 states/eV per atom

a b c (Å): 4.818 5.892 5.892
angles (deg): 80.38 65.87 65.87
Atoms (fractional coordinates):
Zr 0.001 0.000 0.000
N 0.097 0.614 0.193
N 0.905 0.386 0.807
N 0.501 0.000 0.000
Ho 0.800 0.801 0.600
N 0.290 0.807 0.614
N 0.712 0.193 0.386
Ho 0.401 0.400 0.801
Ho 0.202 0.199 0.400
Ho 0.601 0.600 0.199

---

Compound: La3YHo2S6
Source: Alexandria via LeMat-Bulk
Functional: PBE
Structure: relaxed

- SG: C2/m (12)
- Final energy: -80.18 eV/cell
- Raw formation energy: -2.085 eV/atom
- DOS at the Fermi energy: 0.503 states/eV per atom

a b c (Å): 6.916 6.916 7.069
angles (deg): 99.39 99.39 120.11
Atoms (fractional coordinates):
S 0.741 0.741 0.228
S 0.589 0.924 0.771
S 0.076 0.411 0.229
S 0.259 0.259 0.772
La 0.500 0.500 0.500
Ho 0.333 0.667 0.000
La 0.166 0.834 0.500
La 0.834 0.166 0.500
S 0.411 0.076 0.229
S 0.924 0.589 0.771
Ho 0.667 0.333 0.000
Y 0.000 0.000 0.000

---

Compound: RbNa2GaSi
Source: Alexandria via LeMat-Bulk
Functional: PBE
Structure: relaxed

- SG: P4/mmm (123)
- Final energy: -11.44 eV/cell
- Raw formation energy: 0.123 eV/atom
- DOS at the Fermi energy: 0.460 states/eV per atom

a b c (Å): 5.715 5.715 5.192
angles (deg): 90.00 90.00 90.00
Atoms (fractional coordinates):
Rb 0.500 0.500 0.500
Ga 0.000 0.000 0.500
Si 0.000 0.000 0.000
Na 0.500 0.000 0.000
Na 0.000 0.500 0.000

---

Compound: YErCd
Source: Alexandria via LeMat-Bulk
Functional: PBE
Structure: relaxed

- Polymorph energy (0 for the lowest one): 0.121 eV/atom
- SG: P3m1 (156)
- Final energy: -12.19 eV/cell
- DOS at the Fermi energy: 1.137 states/eV per atom

a b c (Å): 3.552 5.239 5.239
angles (deg): 120.00 90.00 90.00
Atoms (fractional coordinates):
Er 0.066 0.000 0.000
Y 0.621 0.667 0.333
Cd 0.313 0.333 0.667